## Pm2WO6 (PBE+U)

Data for Pm2WO6 after structural relaxation.

Calculated values
Total DFT energy (no corrections) in eV per atom: -8.04
DOS at the Fermi energy in states/eV/cell: 0.00

```
data_Pm2WO6
_chemical_formula_sum 'Pm4 W2 O12'
_symmetry_space_group_name_H-M 'P 1 21/c 1'
_symmetry_Int_Tables_number 14
_symmetry_space_group_name_Hall '-P 2ybc'
_cell_length_a 5.612
_cell_length_b 5.916
_cell_length_c 9.528
_cell_angle_alpha 90.00
_cell_angle_beta 119.90
_cell_angle_gamma 90.00
loop_
_atom_site_label
_atom_site_type_symbol
_atom_site_fract_x
_atom_site_fract_y
_atom_site_fract_z
Pm1 Pm 0.194 0.074 0.234
W1 W 0.500 0.000 0.000
O1 O 0.173 0.175 0.952
O2 O 0.251 0.743 0.893
O3 O 0.460 0.097 0.795
```